[1]
A relaxed structure of PuZnCoCu, computed with PBE.

Values from the calculation:
The energy of formation from the pure elements is 0.42 eV per formula unit. Its electronic total energy is -6.60 eV per atom. The size of the total moment comes out at 4.3 Bohr magnetons per cell. The density comes out at 10.95 Mg/m³. The density of states at the Fermi level is 2.411 states/eV/atom.

Lattice parameters (Å, degrees): 4.525 4.525 4.525 60.00 60.00 60.00
Positions (direct):
1 Pu 0.000 0.000 0.000
2 Zn 0.500 0.500 0.500
3 Co 0.250 0.250 0.250
4 Cu 0.750 0.750 0.750

---

[2]
A relaxed structure of RbCo2Cu, computed with PBE.

Values from the calculation:
The energy of formation from the pure elements is 3.99 eV per formula unit. For the energy above the most stable polymorph in this dataset, the calculation gives 0 meV/atom. Its electronic total energy is -3.82 eV per atom. The size of the total moment comes out at 7.4 Bohr magnetons per cell. The density comes out at 4.68 Mg/m³. The density of states at the Fermi level is 1.601 states/eV/atom.

Lattice parameters (Å, degrees): 9.173 9.173 9.173 150.27 150.27 42.55
Positions (direct):
1 Rb 0.375 0.625 0.750
2 Rb 0.625 0.375 0.250
3 Co 0.000 0.000 0.000
4 Co 0.000 0.000 0.500
5 Co 0.000 0.500 0.000
6 Co 0.500 0.000 0.500
7 Cu 0.125 0.875 0.250
8 Cu 0.875 0.125 0.750

---

[3]
A relaxed structure of RbCo3Cu, computed with PBE.

Values from the calculation:
The energy of formation from the pure elements is 13.40 eV per formula unit. For the energy above the most stable polymorph in this dataset, the calculation gives 1318 meV/atom. Its electronic total energy is -2.60 eV per atom. The size of the total moment comes out at 4.4 Bohr magnetons per cell. The density comes out at 5.59 Mg/m³. The density of states at the Fermi level is 2.764 states/eV/atom.

Lattice parameters (Å, degrees): 4.591 4.591 4.591 90.00 90.00 90.00
Positions (direct):
1 Rb 0.000 0.000 0.000
2 Co 0.000 0.000 0.500
3 Co 0.000 0.500 0.000
4 Co 0.500 0.000 0.000
5 Cu 0.500 0.500 0.500

---

[4]
A relaxed structure of RbCoCu3, computed with PBE.

Values from the calculation:
The energy of formation from the pure elements is 3.90 eV per formula unit. For the energy above the most stable polymorph in this dataset, the calculation gives 0 meV/atom. Its electronic total energy is -3.29 eV per atom. The size of the total moment comes out at 1.8 Bohr magnetons per cell. The density comes out at 5.32 Mg/m³. The density of states at the Fermi level is 1.512 states/eV/atom.

Lattice parameters (Å, degrees): 4.713 4.713 4.713 90.00 90.00 90.00
Positions (direct):
1 Rb 0.000 0.000 0.000
2 Co 0.500 0.500 0.500
3 Cu 0.000 0.500 0.500
4 Cu 0.500 0.000 0.500
5 Cu 0.500 0.500 0.000

---

[5]
A relaxed structure of RbCoCu3, computed with PBE.

Values from the calculation:
The energy of formation from the pure elements is 11.39 eV per formula unit. For the energy above the most stable polymorph in this dataset, the calculation gives 1498 meV/atom. Its electronic total energy is -1.79 eV per atom. The size of the total moment comes out at 1.8 Bohr magnetons per cell. The density comes out at 4.15 Mg/m³. The density of states at the Fermi level is 1.216 states/eV/atom.

Lattice parameters (Å, degrees): 5.120 5.120 5.120 90.00 90.00 90.00
Positions (direct):
1 Rb 0.000 0.000 0.000
2 Co 0.500 0.500 0.500
3 Cu 0.000 0.000 0.500
4 Cu 0.000 0.500 0.000
5 Cu 0.500 0.000 0.000

---

[6]
A relaxed structure of RbCo2Cu, computed with PBE.

Values from the calculation:
The energy of formation from the pure elements is 6.11 eV per formula unit. For the energy above the most stable polymorph in this dataset, the calculation gives 531 meV/atom. Its electronic total energy is -3.29 eV per atom. The size of the total moment comes out at 2.9 Bohr magnetons per cell. The density comes out at 6.44 Mg/m³. The density of states at the Fermi level is 3.287 states/eV/atom.

Lattice parameters (Å, degrees): 4.599 4.599 4.599 60.00 60.00 60.00
Positions (direct):
1 Rb 0.000 0.000 0.000
2 Co 0.250 0.250 0.250
3 Co 0.750 0.750 0.750
4 Cu 0.500 0.500 0.500

---

[7]
A relaxed structure of RbCo3Cu, computed with PBE.

Values from the calculation:
The energy of formation from the pure elements is 6.81 eV per formula unit. For the energy above the most stable polymorph in this dataset, the calculation gives 0 meV/atom. Its electronic total energy is -3.91 eV per atom. The size of the total moment comes out at 5.8 Bohr magnetons per cell. The density comes out at 5.37 Mg/m³. The density of states at the Fermi level is 2.516 states/eV/atom.

Lattice parameters (Å, degrees): 4.653 4.653 4.653 90.00 90.00 90.00
Positions (direct):
1 Rb 0.000 0.000 0.000
2 Co 0.000 0.500 0.500
3 Co 0.500 0.000 0.500
4 Co 0.500 0.500 0.000
5 Cu 0.500 0.500 0.500

---

[8]
A relaxed structure of Rb2CoCuRu, computed with PBE.

Values from the calculation:
The energy of formation from the pure elements is 8.25 eV per formula unit. Its electronic total energy is -2.83 eV per atom. The size of the total moment comes out at 4.8 Bohr magnetons per cell. The density comes out at 3.58 Mg/m³. The density of states at the Fermi level is 3.494 states/eV/atom.

Lattice parameters (Å, degrees): 6.312 6.312 4.590 90.00 90.00 90.00
Positions (direct):
1 Rb 0.000 0.500 0.000
2 Rb 0.500 0.000 0.000
3 Co 0.000 0.000 0.500
4 Cu 0.000 0.000 0.000
5 Ru 0.500 0.500 0.500

---

[9]
A relaxed structure of RbCoCuS2, computed with PBE.

Values from the calculation:
Its energy relative to the elements, uncorrected is -0.536 eV/atom. For the energy above the most stable polymorph in this dataset, the calculation gives 0 meV/atom. Its electronic total energy is -4.62 eV per atom. The size of the total moment comes out at 2.9 Bohr magnetons per cell. The density comes out at 4.40 Mg/m³. The density of states at the Fermi level is 0.893 states/eV/atom.

Lattice parameters (Å, degrees): 7.328 7.328 7.328 149.24 149.24 44.06
Positions (direct):
1 Rb 0.000 0.000 0.000
2 Co 0.750 0.250 0.500
3 Cu 0.250 0.750 0.500
4 S 0.345 0.345 0.000
5 S 0.655 0.655 0.000

---

[10]
A relaxed structure of Rb2CoCuS4, computed with PBE.

Values from the calculation:
Its energy relative to the elements, uncorrected is -0.588 eV/atom. Its electronic total energy is -4.29 eV per atom. The size of the total moment comes out at 0.0 Bohr magnetons per cell. The density comes out at 3.28 Mg/m³. The density of states at the Fermi level is 0.134 states/eV/atom.

Lattice parameters (Å, degrees): 13.306 11.903 7.151 84.68 62.97 32.35
Positions (direct):
1 Rb 0.054 0.054 0.696
2 Rb 0.304 0.304 0.946
3 Rb 0.696 0.696 0.054
4 Rb 0.946 0.946 0.304
5 Co 0.375 0.375 0.375
6 Co 0.625 0.625 0.625
7 Cu 0.125 0.125 0.125
8 Cu 0.875 0.875 0.875
9 S 0.005 0.641 0.565
10 S 0.288 0.565 0.641
11 S 0.359 0.995 0.712
12 S 0.435 0.712 0.995
13 S 0.565 0.288 0.005
14 S 0.641 0.005 0.288
15 S 0.712 0.435 0.359
16 S 0.995 0.359 0.435

---

[11]
A relaxed structure of RbCoCuS2, computed with PBE.

Values from the calculation:
Its energy relative to the elements, uncorrected is -0.511 eV/atom. For the energy above the most stable polymorph in this dataset, the calculation gives 25 meV/atom. Its electronic total energy is -4.60 eV per atom. The size of the total moment comes out at 1.8 Bohr magnetons per cell. The density comes out at 4.13 Mg/m³. The density of states at the Fermi level is 0.566 states/eV/atom.

Lattice parameters (Å, degrees): 7.080 7.080 6.300 90.00 90.00 136.10
Positions (direct):
1 Rb 0.250 0.750 0.759
2 Rb 0.750 0.250 0.241
3 Co 0.250 0.250 0.000
4 Co 0.750 0.750 0.000
5 Cu 0.000 0.000 0.500
6 Cu 0.500 0.500 0.500
7 S 0.091 0.909 0.209
8 S 0.409 0.591 0.209
9 S 0.591 0.409 0.791
10 S 0.909 0.091 0.791

---

[12]
A relaxed structure of RbCoCu3Se4, computed with PBE.

Values from the calculation:
Its energy relative to the elements, uncorrected is -0.212 eV/atom. Its electronic total energy is -4.02 eV per atom. The size of the total moment comes out at 1.2 Bohr magnetons per cell. The density comes out at 4.74 Mg/m³. The density of states at the Fermi level is 0.656 states/eV/atom.

Lattice parameters (Å, degrees): 6.109 6.109 6.109 90.00 90.00 90.00
Positions (direct):
1 Rb 0.000 0.000 0.000
2 Co 0.500 0.500 0.500
3 Cu 0.000 0.500 0.500
4 Cu 0.500 0.000 0.500
5 Cu 0.500 0.500 0.000
6 Se 0.287 0.287 0.713
7 Se 0.287 0.713 0.287
8 Se 0.713 0.287 0.287
9 Se 0.713 0.713 0.713

---

[13]
A relaxed structure of RbTa2CoCu, computed with PBE.

Values from the calculation:
The energy of formation from the pure elements is 9.09 eV per formula unit. Its electronic total energy is -5.36 eV per atom. The size of the total moment comes out at 0.0 Bohr magnetons per cell. The density comes out at 8.74 Mg/m³. The density of states at the Fermi level is 2.968 states/eV/atom.

Lattice parameters (Å, degrees): 4.799 4.799 4.699 90.00 90.00 90.00
Positions (direct):
1 Rb 0.000 0.000 0.000
2 Ta 0.000 0.500 0.500
3 Ta 0.500 0.000 0.500
4 Co 0.500 0.500 0.000
5 Cu 0.500 0.500 0.500

---

[14]
A relaxed structure of RbY2CoCu, computed with PBE.

Values from the calculation:
The energy of formation from the pure elements is 9.20 eV per formula unit. Its electronic total energy is -3.18 eV per atom. The size of the total moment comes out at 1.7 Bohr magnetons per cell. The density comes out at 4.59 Mg/m³. The density of states at the Fermi level is 0.806 states/eV/atom.

Lattice parameters (Å, degrees): 5.444 5.444 4.705 90.00 90.00 90.00
Positions (direct):
1 Rb 0.000 0.000 0.000
2 Y 0.000 0.500 0.000
3 Y 0.500 0.000 0.000
4 Co 0.500 0.500 0.500
5 Cu 0.000 0.000 0.500

---

[15]
A relaxed structure of Co2CuRe, computed with PBE.

Values from the calculation:
The energy of formation from the pure elements is 1.27 eV per formula unit. For the energy above the most stable polymorph in this dataset, the calculation gives 212 meV/atom. Its electronic total energy is -7.37 eV per atom. The size of the total moment comes out at 3.1 Bohr magnetons per cell. The density comes out at 12.29 Mg/m³. The density of states at the Fermi level is 1.617 states/eV/atom.

Lattice parameters (Å, degrees): 4.918 4.918 2.511 101.93 101.93 117.04
Positions (direct):
1 Co 0.000 0.500 0.000
2 Co 0.500 0.000 0.000
3 Cu 0.000 0.000 0.500
4 Re 0.500 0.500 0.500

---

[16]
A relaxed structure of CoCu2Re, computed with PBE.

Values from the calculation:
The energy of formation from the pure elements is 1.63 eV per formula unit. For the energy above the most stable polymorph in this dataset, the calculation gives 264 meV/atom. Its electronic total energy is -6.53 eV per atom. The size of the total moment comes out at 2.7 Bohr magnetons per cell. The density comes out at 12.29 Mg/m³. The density of states at the Fermi level is 0.765 states/eV/atom.

Lattice parameters (Å, degrees): 3.586 3.586 3.913 90.00 90.00 90.00
Positions (direct):
1 Co 0.000 0.000 0.000
2 Cu 0.000 0.500 0.500
3 Cu 0.500 0.000 0.500
4 Re 0.500 0.500 0.000

---

[17]
A relaxed structure of Co2CuRe, computed with PBE.

Values from the calculation:
The energy of formation from the pure elements is 0.83 eV per formula unit. For the energy above the most stable polymorph in this dataset, the calculation gives 102 meV/atom. Its electronic total energy is -7.48 eV per atom. The size of the total moment comes out at 0.0 Bohr magnetons per cell. The density comes out at 12.71 Mg/m³. The density of states at the Fermi level is 1.361 states/eV/atom.

Lattice parameters (Å, degrees): 4.393 4.393 2.599 90.00 90.00 106.71
Positions (direct):
1 Co 0.000 0.500 0.000
2 Co 0.500 0.000 0.000
3 Cu 0.000 0.000 0.500
4 Re 0.500 0.500 0.500

---

[18]
A relaxed structure of Co2CuRe, computed with PBE.

Values from the calculation:
The energy of formation from the pure elements is 0.85 eV per formula unit. For the energy above the most stable polymorph in this dataset, the calculation gives 107 meV/atom. Its electronic total energy is -7.48 eV per atom. The size of the total moment comes out at 2.0 Bohr magnetons per cell. The density comes out at 12.66 Mg/m³. The density of states at the Fermi level is 0.363 states/eV/atom.

Lattice parameters (Å, degrees): 4.086 4.086 4.086 60.00 60.00 60.00
Positions (direct):
1 Co 0.250 0.250 0.250
2 Co 0.750 0.750 0.750
3 Cu 0.000 0.000 0.000
4 Re 0.500 0.500 0.500

---

[19]
A relaxed structure of CoCu2Re, computed with PBE.

Values from the calculation:
The energy of formation from the pure elements is 1.24 eV per formula unit. For the energy above the most stable polymorph in this dataset, the calculation gives 165 meV/atom. Its electronic total energy is -6.63 eV per atom. The size of the total moment comes out at 1.1 Bohr magnetons per cell. The density comes out at 12.31 Mg/m³. The density of states at the Fermi level is 1.031 states/eV/atom.

Lattice parameters (Å, degrees): 2.515 4.312 4.666 90.00 97.01 90.00
Positions (direct):
1 Co 0.000 0.000 0.000
2 Cu 0.185 0.500 0.756
3 Cu 0.815 0.500 0.244
4 Re 0.500 0.000 0.500

---

[20]
A relaxed structure of Co2CuRe, computed with PBE.

Values from the calculation:
The energy of formation from the pure elements is 1.48 eV per formula unit. For the energy above the most stable polymorph in this dataset, the calculation gives 264 meV/atom. Its electronic total energy is -7.32 eV per atom. The size of the total moment comes out at 3.2 Bohr magnetons per cell. The density comes out at 12.24 Mg/m³. The density of states at the Fermi level is 1.206 states/eV/atom.

Lattice parameters (Å, degrees): 2.622 4.334 4.390 90.00 90.00 90.00
Positions (direct):
1 Co 0.000 0.000 0.000
2 Co 0.500 0.000 0.500
3 Cu 0.000 0.500 0.500
4 Re 0.500 0.500 0.000